Arrangement P

Here is an optimized crystal structure of ZrNpSe4 from the Alexandria database. Energies are from PBE-GGA.

Properties
* crystal system: monoclinic
* volume: 26.55 A^3/atom

Cell lengths 6.861, 6.793, 6.881 Å; angles 90.00, 96.69, 90.00 degrees
Space group P2_1/c (No. 14)
One atom of each set of equivalent atoms:
Zr1 0.000 0.000 0.000 (multiplicity 2)
Np1 0.500 0.000 0.500 (multiplicity 2)
Se1 0.162 0.172 0.697 (multiplicity 4)
Se2 0.337 0.661 0.638 (multiplicity 4)

***

Arrangement Q

Here is an optimized crystal structure of ZrNpSe4 from the Alexandria database. Energies are from PBE-GGA.

Properties
* crystal system: monoclinic
* volume: 30.78 A^3/atom

Cell lengths 13.746, 3.961, 6.859 Å; angles 90.00, 98.56, 90.00 degrees
Space group C2/m (No. 12)
One atom of each set of equivalent atoms:
Zr1 0.000 0.000 0.000 (multiplicity 2)
Np1 0.000 0.500 0.500 (multiplicity 2)
Se1 0.114 0.500 0.876 (multiplicity 4)
Se2 0.115 0.000 0.355 (multiplicity 4)

***

Quick one: most stable of them? arrangement Q

***

Arrangement P

Here is an optimized crystal structure of NpSi2 from the Alexandria database. Energies are from PBE-GGA.

Properties
* crystal system: cubic
* volume: 16.51 A^3/atom

Cell lengths 7.345, 7.345, 7.345 Å; angles 90.00, 90.00, 90.00 degrees
Space group Fd-3m (No. 227, origin choice 2)
One atom of each set of equivalent atoms:
Np1 0.125 0.125 0.125 (multiplicity 8)
Si1 0.000 0.000 0.500 (multiplicity 16)

***

Arrangement Q

Here is an optimized crystal structure of NpSi2 from the Alexandria database. Energies are from PBE-GGA.

Properties
* crystal system: tetragonal
* volume: 18.01 A^3/atom

Cell lengths 3.283, 3.283, 10.024 Å; angles 90.00, 90.00, 90.00 degrees
Space group I4/mmm (No. 139)
One atom of each set of equivalent atoms:
Np1 0.000 0.000 0.000 (multiplicity 2)
Si1 0.000 0.000 0.300 (multiplicity 4)

***

Quick one: most stable of them? arrangement P